# SrLi2In2

A relaxed structure of SrLi2In2 (GGA-PBEsol, Alexandria).

Structure (POSCAR):
```
SrLi2In2
1.0
8.480 0.000 0.000
0.000 8.480 0.000
0.000 0.000 3.231
Sr Li In
2 4 4
Direct
0.000 0.000 0.000
0.500 0.500 0.000
0.120 0.380 0.000
0.380 0.880 0.000
0.620 0.120 0.000
0.880 0.620 0.000
0.172 0.672 0.500
0.328 0.172 0.500
0.672 0.828 0.500
0.828 0.328 0.500
```

Output
relative energy among the computed polymorphs = 0.000 eV per atom
formation energy = -0.29 eV per atom
symmetry = No. 127
crystal system = tetragonal

# Mg2InAg

A relaxed structure of Mg2InAg (GGA-PBEsol, Alexandria).

Structure (POSCAR):
```
Mg2InAg
1.0
-2.133 2.133 4.411
2.133 -2.133 4.411
2.133 2.133 -4.411
Mg In Ag
2 1 1
Direct
0.000 0.000 0.000
0.750 0.250 0.500
0.250 0.750 0.500
0.500 0.500 0.000
```

Output
formation energy = -0.12 eV per atom
symmetry = No. 119
crystal system = tetragonal

# CsBS2

A relaxed structure of CsBS2 (GGA-PBEsol, Alexandria).

Structure (POSCAR):
```
CsBS2
1.0
2.870 1.657 5.872
-2.870 1.657 5.872
0.000 -3.313 5.872
Cs B S
1 1 2
Direct
0.000 0.000 0.000
0.500 0.500 0.500
0.405 0.405 0.405
0.595 0.595 0.595
```

Output
symmetry = No. 166
crystal system = trigonal
uncorrected formation energy = -0.75 eV per atom

# LiZn2Ag

A relaxed structure of LiZn2Ag (GGA-PBEsol, Alexandria).

Structure (POSCAR):
```
LiZn2Ag
1.0
2.693 0.000 0.000
0.000 3.932 0.000
0.000 0.000 5.487
Li Zn Ag
1 2 1
Direct
0.000 0.000 0.000
0.000 0.000 0.493
0.500 0.500 0.250
0.500 0.500 0.753
```

Output
formation energy = -0.14 eV per atom
symmetry = No. 25
crystal system = orthorhombic

# Zn2CoCl

A relaxed structure of Zn2CoCl (GGA-PBEsol, Alexandria).

Structure (POSCAR):
```
Zn2CoCl
1.0
2.933 0.000 0.000
0.000 2.933 0.000
0.000 0.000 6.687
Zn Co Cl
2 1 1
Direct
0.000 0.000 0.205
0.000 0.000 0.795
0.500 0.500 0.000
0.500 0.500 0.500
```

Output
relative energy among the computed polymorphs = 0.000 eV per atom
symmetry = No. 123
crystal system = tetragonal
uncorrected formation energy = 0.01 eV per atom

# ReSbPb

A relaxed structure of ReSbPb (GGA-PBEsol, Alexandria).

Structure (POSCAR):
```
ReSbPb
1.0
0.000 3.322 3.322
3.322 0.000 3.322
3.322 3.322 0.000
Re Sb Pb
1 1 1
Direct
0.000 0.000 0.000
0.750 0.750 0.750
0.500 0.500 0.500
```

Output
relative energy among the computed polymorphs = 0.888 eV per atom
symmetry = No. 216
crystal system = cubic
uncorrected formation energy = 1.42 eV per atom

# BaReIr3

A relaxed structure of BaReIr3 (GGA-PBEsol, Alexandria).

Structure (POSCAR):
```
BaReIr3
1.0
4.810 0.000 0.000
0.000 4.810 0.000
0.000 0.000 4.810
Ba Re Ir
1 1 3
Direct
0.000 0.000 0.000
0.500 0.500 0.500
0.000 0.500 0.500
0.500 0.000 0.500
0.500 0.500 0.000
```

Output
relative energy among the computed polymorphs = 0.000 eV per atom
formation energy = 0.91 eV per atom
symmetry = No. 221
crystal system = cubic

# ZnCo2Ni

A relaxed structure of ZnCo2Ni (GGA-PBEsol, Alexandria).

Structure (POSCAR):
```
ZnCo2Ni
1.0
1.253 0.723 8.073
-1.253 0.723 8.073
0.000 -1.447 8.073
Zn Co Ni
1 2 1
Direct
0.000 0.000 0.000
0.499 0.499 0.499
0.754 0.754 0.754
0.248 0.248 0.248
```

Output
formation energy = -0.01 eV per atom
symmetry = No. 160
crystal system = trigonal

# Rb2TlGaF6

A relaxed structure of Rb2TlGaF6 (GGA-PBEsol, Alexandria).

Structure (POSCAR):
```
Rb2TlGaF6
1.0
0.000 4.494 4.494
4.494 0.000 4.494
4.494 4.494 0.000
Rb Tl Ga F
2 1 1 6
Direct
0.250 0.250 0.250
0.750 0.750 0.750
0.000 0.000 0.000
0.500 0.500 0.500
0.288 0.288 0.712
0.288 0.712 0.288
0.288 0.712 0.712
0.712 0.288 0.288
0.712 0.288 0.712
0.712 0.712 0.288
```

Output
symmetry = No. 225
crystal system = cubic
uncorrected formation energy = -2.58 eV per atom

# Mg3Te2Pb6WO18

A relaxed structure of Mg3Te2Pb6WO18 (GGA-PBEsol, Alexandria).

Structure (POSCAR):
```
Mg3Te2Pb6WO18
1.0
5.636 0.000 0.000
-2.818 4.881 0.000
0.000 0.000 13.794
Mg Te Pb W O
3 2 6 1 18
Direct
0.000 0.000 0.000
0.333 0.667 0.665
0.667 0.333 0.335
0.333 0.667 0.167
0.667 0.333 0.833
0.000 0.000 0.251
0.000 0.000 0.749
0.333 0.667 0.416
0.333 0.667 0.916
0.667 0.333 0.084
0.667 0.333 0.584
0.000 0.000 0.500
0.012 0.506 0.248
0.161 0.322 0.581
0.161 0.839 0.581
0.172 0.344 0.086
0.172 0.828 0.086
0.322 0.161 0.419
0.344 0.172 0.914
0.494 0.506 0.248
0.494 0.988 0.248
0.506 0.012 0.752
0.506 0.494 0.752
0.656 0.828 0.086
0.678 0.839 0.581
0.828 0.172 0.914
0.828 0.656 0.914
0.839 0.161 0.419
0.839 0.678 0.419
0.988 0.494 0.752
```

Output
symmetry = No. 164
crystal system = trigonal
uncorrected formation energy = -1.63 eV per atom

# SrHPd2

A relaxed structure of SrHPd2 (GGA-PBEsol, Alexandria).

Structure (POSCAR):
```
SrHPd2
1.0
0.000 4.043 4.043
4.043 0.000 4.043
4.043 4.043 0.000
Sr H Pd
2 2 4
Direct
0.125 0.125 0.125
0.875 0.875 0.875
0.375 0.375 0.375
0.625 0.625 0.625
0.000 0.500 0.500
0.500 0.000 0.500
0.500 0.500 0.000
0.500 0.500 0.500
```

Output
total energy = -4.8085 eV/atom
symmetry = No. 227
crystal system = cubic

# Dy2TiO5

A relaxed structure of Dy2TiO5 (GGA-PBEsol, Alexandria).

Structure (POSCAR):
```
Dy2TiO5
1.0
2.012 -5.493 0.000
2.012 5.493 0.000
0.000 0.000 10.375
Dy Ti O
4 2 10
Direct
0.143 0.857 0.570
0.143 0.857 0.930
0.857 0.143 0.070
0.857 0.143 0.430
0.170 0.830 0.250
0.830 0.170 0.750
0.050 0.950 0.123
0.050 0.950 0.377
0.277 0.723 0.750
0.288 0.712 0.092
0.288 0.712 0.408
0.712 0.288 0.592
0.712 0.288 0.908
0.723 0.277 0.250
0.950 0.050 0.623
0.950 0.050 0.877
```

Output
relative energy among the computed polymorphs = 0.062 eV per atom
symmetry = No. 63
crystal system = orthorhombic
uncorrected formation energy = -3.39 eV per atom